# Ac2CeHoP4 | Alexandria via LeMat-Bulk | GGA-PBE | optimized geometry
data_Ac2CeHoP4
_cell_length_a 7.3208
_cell_length_b 4.2386
_cell_length_c 7.3692
_cell_angle_alpha 90.00
_cell_angle_beta 109.36
_cell_angle_gamma 90.00
_symmetry_space_group_name_H-M 'P 1 2/m 1'
_symmetry_Int_Tables_number 10
_symmetry_space_group_name_Hall '-P 2y'
loop_
_atom_site_label
_atom_site_type_symbol
_atom_site_fract_x
_atom_site_fract_y
_atom_site_fract_z
_atom_site_occupancy
Ac1 Ac 0.0000 0.0000 0.0000 1
Ac2 Ac 0.5000 0.5000 0.0000 1
Ce1 Ce 0.0000 0.5000 0.5000 1
Ho1 Ho 0.5000 0.0000 0.5000 1
P1 P 0.2435 0.0000 0.7257 1
P2 P 0.2589 0.5000 0.2745 1
# Calculated volume = 26.97 Å³/atom
# Energy = -6.52 eV/atom
# D(E_F) = 0.72 states/eV/atom
# Energy of formation from the pure elements = -1474.3 meV/atom